Record 1
LaInAg5 GGA-PBE optimized geometry; Fermi-level density of states = 16.5 states/eV per cell; theoretical density = 8.748 g/cm3; V = 21.51 Å³/atom; total energy = -3.341 eV/atom; calculated formation energy = -0.210 eV per atom
1.0
9.186 0.000 0.000
0.000 5.698 0.000
0.000 0.000 11.504
La In Ag
4 4 20
Direct
0.241 0.250 0.061
0.259 0.750 0.561
0.741 0.250 0.439
0.759 0.750 0.939
0.145 0.750 0.853
0.355 0.250 0.353
0.645 0.750 0.647
0.855 0.250 0.147
0.066 0.006 0.306
0.066 0.494 0.306
0.066 0.750 0.087
0.093 0.250 0.518
0.182 0.250 0.757
0.318 0.750 0.257
0.407 0.750 0.018
0.434 0.250 0.587
0.434 0.506 0.806
0.434 0.994 0.806
0.566 0.006 0.194
0.566 0.494 0.194
0.566 0.750 0.413
0.593 0.250 0.982
0.682 0.250 0.743
0.818 0.750 0.243
0.907 0.750 0.482
0.934 0.250 0.913
0.934 0.506 0.694
0.934 0.994 0.694



Record 2
La2In3Ag2 GGA-PBE optimized geometry; Fermi-level density of states = 5.9 states/eV per cell; distance to the lowest polymorph of the same formula = 0 meV per atom; theoretical density = 7.630 g/cm3; V = 26.05 Å³/atom; total energy = -3.774 eV/atom; calculated formation energy = -0.378 eV per atom
1.0
5.610 -2.388 0.000
5.610 2.388 0.000
-2.817 0.000 6.808
La In Ag
2 3 2
Direct
0.152 0.152 0.281
0.848 0.848 0.719
0.391 0.391 0.062
0.500 0.500 0.500
0.609 0.609 0.938
0.146 0.146 0.733
0.854 0.854 0.267



Record 3
La3In2Ag4 GGA-PBE optimized geometry; Fermi-level density of states = 6.6 states/eV per cell; theoretical density = 7.698 g/cm3; V = 25.83 Å³/atom; total energy = -3.895 eV/atom; calculated formation energy = -0.376 eV per atom
1.0
5.682 -2.460 0.000
5.682 2.460 0.000
-4.277 0.000 8.315
La In Ag
3 2 4
Direct
0.000 0.000 0.000
0.343 0.343 0.322
0.657 0.657 0.678
0.371 0.371 0.704
0.629 0.629 0.296
0.076 0.076 0.410
0.283 0.283 0.948
0.717 0.717 0.052
0.924 0.924 0.590



Record 4
La3In2Ag2 GGA-PBE optimized geometry; Fermi-level density of states = 6.0 states/eV per cell; theoretical density = 6.907 g/cm3; V = 29.61 Å³/atom; total energy = -4.085 eV/atom; calculated formation energy = -0.376 eV per atom
1.0
5.849 -2.395 0.000
5.849 2.395 0.000
-2.109 0.000 7.397
La In Ag
3 2 2
Direct
0.000 0.000 0.000
0.168 0.168 0.640
0.832 0.832 0.360
0.456 0.456 0.669
0.544 0.544 0.331
0.315 0.315 0.061
0.685 0.685 0.939



Record 5
La4In3Ag GGA-PBE optimized geometry; Fermi-level density of states = 8.2 states/eV per cell; theoretical density = 6.953 g/cm3; V = 30.09 Å³/atom; total energy = -4.297 eV/atom; calculated formation energy = -0.450 eV per atom
1.0
3.762 0.000 0.000
0.000 3.762 0.000
0.000 0.000 17.012
La In Ag
4 3 1
Direct
0.000 0.000 0.117
0.000 0.000 0.372
0.000 0.000 0.628
0.000 0.000 0.883
0.500 0.500 0.242
0.500 0.500 0.500
0.500 0.500 0.758
0.500 0.500 0.000



Record 6
La3InAg GGA-PBE optimized geometry; Fermi-level density of states = 13.6 states/eV per cell; distance to the lowest polymorph of the same formula = 441 meV per atom; theoretical density = 5.511 g/cm3; V = 38.53 Å³/atom; total energy = -3.922 eV/atom; calculated formation energy = 0.153 eV per atom
1.0
5.776 0.000 0.000
0.000 5.776 0.000
0.000 0.000 5.776
La In Ag
3 1 1
Direct
0.000 0.000 0.500
0.000 0.500 0.000
0.500 0.000 0.000
0.500 0.500 0.500
0.000 0.000 0.000